Record 1
# CaTeBr GGA-PBE relaxed
data_CaTeBr
_chemical_formula_sum 'Ca4 Te4 Br4'
_symmetry_space_group_name_H-M 'P 1'
_symmetry_Int_Tables_number 1
_cell_length_a 8.186
_cell_length_b 4.585
_cell_length_c 12.006
_cell_angle_alpha 90.00
_cell_angle_beta 90.78
_cell_angle_gamma 90.00
loop_
_symmetry_equiv_pos_as_xyz
'x,y,z'
loop_
_atom_site_label
_atom_site_fract_x
_atom_site_fract_y
_atom_site_fract_z
Ca1 0.157 0.000 0.248
Ca2 0.343 0.500 0.752
Ca3 0.657 0.500 0.248
Ca4 0.843 0.000 0.752
Te1 0.016 0.500 0.887
Te2 0.484 0.000 0.113
Te3 0.516 0.000 0.887
Te4 0.984 0.500 0.113
Br1 0.168 0.000 0.637
Br2 0.332 0.500 0.363
Br3 0.668 0.500 0.637
Br4 0.832 0.000 0.363
# E above lowest polymorph in eV per atom: 0.000
# Formation energy from raw total energies in eV/atom: -1.4172

Record 2
# YAl3 GGA-PBE relaxed
data_YAl3
_chemical_formula_sum 'Y1 Al3'
_symmetry_space_group_name_H-M 'P 1'
_symmetry_Int_Tables_number 1
_cell_length_a 3.207
_cell_length_b 3.772
_cell_length_c 6.696
_cell_angle_alpha 90.00
_cell_angle_beta 90.00
_cell_angle_gamma 90.00
loop_
_symmetry_equiv_pos_as_xyz
'x,y,z'
loop_
_atom_site_label
_atom_site_fract_x
_atom_site_fract_y
_atom_site_fract_z
Y1 0.000 0.000 0.000
Al1 0.000 0.000 0.500
Al2 0.500 0.500 0.298
Al3 0.500 0.500 0.702
# ΔH_f (0 K) in eV/atom: -0.2247

Record 3
# Pr2MgTaO6 GGA-PBE relaxed
data_Pr2MgTaO6
_chemical_formula_sum 'Pr4 Mg2 Ta2 O12'
_symmetry_space_group_name_H-M 'P 1'
_symmetry_Int_Tables_number 1
_cell_length_a 5.666
_cell_length_b 5.733
_cell_length_c 9.763
_cell_angle_alpha 90.00
_cell_angle_beta 125.27
_cell_angle_gamma 90.00
loop_
_symmetry_equiv_pos_as_xyz
'x,y,z'
loop_
_atom_site_label
_atom_site_fract_x
_atom_site_fract_y
_atom_site_fract_z
Pr1 0.239 0.063 0.249
Pr2 0.239 0.437 0.749
Pr3 0.761 0.563 0.251
Pr4 0.761 0.937 0.751
Mg1 0.500 0.000 0.000
Mg2 0.500 0.500 0.500
Ta1 0.000 0.000 0.500
Ta2 0.000 0.500 0.000
O1 0.144 0.206 0.943
O2 0.144 0.294 0.443
O3 0.256 0.692 0.957
O4 0.256 0.808 0.457
O5 0.344 0.019 0.748
O6 0.344 0.481 0.248
O7 0.656 0.519 0.752
O8 0.656 0.981 0.252
O9 0.744 0.192 0.543
O10 0.744 0.308 0.043
O11 0.856 0.706 0.557
O12 0.856 0.794 0.057
# Formation energy from raw total energies in eV/atom: -2.9964

Record 4
# MgPaSe GGA-PBE relaxed
data_MgPaSe
_chemical_formula_sum 'Mg2 Pa2 Se2'
_symmetry_space_group_name_H-M 'P 1'
_symmetry_Int_Tables_number 1
_cell_length_a 3.506
_cell_length_b 3.506
_cell_length_c 13.370
_cell_angle_alpha 90.00
_cell_angle_beta 90.00
_cell_angle_gamma 120.00
loop_
_symmetry_equiv_pos_as_xyz
'x,y,z'
loop_
_atom_site_label
_atom_site_fract_x
_atom_site_fract_y
_atom_site_fract_z
Mg1 0.000 0.000 0.205
Mg2 0.000 0.000 0.795
Pa1 0.000 0.000 0.500
Pa2 0.333 0.667 0.000
Se1 0.333 0.667 0.343
Se2 0.333 0.667 0.657
# Formation energy from raw total energies in eV/atom: -0.5238

Record 5
# BeInW2 GGA-PBE relaxed
data_BeInW2
_chemical_formula_sum 'Be2 In2 W4'
_symmetry_space_group_name_H-M 'P 1'
_symmetry_Int_Tables_number 1
_cell_length_a 5.411
_cell_length_b 8.943
_cell_length_c 2.763
_cell_angle_alpha 90.00
_cell_angle_beta 106.69
_cell_angle_gamma 90.00
loop_
_symmetry_equiv_pos_as_xyz
'x,y,z'
loop_
_atom_site_label
_atom_site_fract_x
_atom_site_fract_y
_atom_site_fract_z
Be1 0.000 0.000 0.000
Be2 0.500 0.500 0.000
In1 0.000 0.500 0.000
In2 0.500 0.000 0.000
W1 0.250 0.250 0.500
W2 0.250 0.750 0.500
W3 0.750 0.250 0.500
W4 0.750 0.750 0.500
# E above lowest polymorph in eV per atom: 0.250
# ΔH_f (0 K) in eV/atom: 0.5988

Record 6
# Nd6Sm3Ho2Tl GGA-PBE relaxed
data_Nd6Sm3Ho2Tl
_chemical_formula_sum 'Nd6 Sm3 Ho2 Tl1'
_symmetry_space_group_name_H-M 'P 1'
_symmetry_Int_Tables_number 1
_cell_length_a 6.273
_cell_length_b 6.273
_cell_length_c 11.871
_cell_angle_alpha 95.17
_cell_angle_beta 95.17
_cell_angle_gamma 120.24
loop_
_symmetry_equiv_pos_as_xyz
'x,y,z'
loop_
_atom_site_label
_atom_site_fract_x
_atom_site_fract_y
_atom_site_fract_z
Nd1 0.080 0.408 0.245
Nd2 0.246 0.246 0.753
Nd3 0.408 0.080 0.245
Nd4 0.592 0.920 0.755
Nd5 0.754 0.754 0.247
Nd6 0.920 0.592 0.755
Sm1 0.169 0.831 0.500
Sm2 0.500 0.500 0.500
Sm3 0.831 0.169 0.500
Ho1 0.334 0.666 0.000
Ho2 0.666 0.334 0.000
Tl1 0.000 0.000 0.000
# ΔH_f (0 K) in eV/atom: -0.0079

Record 7
# YH3W GGA-PBE relaxed
data_YH3W
_chemical_formula_sum 'Y1 H3 W1'
_symmetry_space_group_name_H-M 'P 1'
_symmetry_Int_Tables_number 1
_cell_length_a 3.696
_cell_length_b 3.696
_cell_length_c 3.696
_cell_angle_alpha 90.00
_cell_angle_beta 90.00
_cell_angle_gamma 90.00
loop_
_symmetry_equiv_pos_as_xyz
'x,y,z'
loop_
_atom_site_label
_atom_site_fract_x
_atom_site_fract_y
_atom_site_fract_z
Y1 0.000 0.000 0.000
H1 0.000 0.500 0.500
H2 0.500 0.000 0.500
H3 0.500 0.500 0.000
W1 0.500 0.500 0.500
# E above lowest polymorph in eV per atom: 0.000

Record 8
# Tb2CeThSb4 GGA-PBE relaxed
data_Tb2CeThSb4
_chemical_formula_sum 'Tb2 Ce1 Th1 Sb4'
_symmetry_space_group_name_H-M 'P 1'
_symmetry_Int_Tables_number 1
_cell_length_a 7.700
_cell_length_b 4.461
_cell_length_c 7.721
_cell_angle_alpha 90.00
_cell_angle_beta 109.51
_cell_angle_gamma 90.00
loop_
_symmetry_equiv_pos_as_xyz
'x,y,z'
loop_
_atom_site_label
_atom_site_fract_x
_atom_site_fract_y
_atom_site_fract_z
Tb1 0.000 0.000 0.000
Tb2 0.000 0.500 0.500
Ce1 0.500 0.000 0.500
Th1 0.500 0.500 0.000
Sb1 0.243 0.000 0.747
Sb2 0.244 0.500 0.248
Sb3 0.756 0.500 0.752
Sb4 0.757 0.000 0.253
# Formation energy from raw total energies in eV/atom: -1.0763

Record 9
# IrRuO2F GGA-PBE relaxed
data_IrRuO2F
_chemical_formula_sum 'Ir1 Ru1 O2 F1'
_symmetry_space_group_name_H-M 'P 1'
_symmetry_Int_Tables_number 1
_cell_length_a 3.804
_cell_length_b 3.804
_cell_length_c 4.449
_cell_angle_alpha 90.00
_cell_angle_beta 90.00
_cell_angle_gamma 90.00
loop_
_symmetry_equiv_pos_as_xyz
'x,y,z'
loop_
_atom_site_label
_atom_site_fract_x
_atom_site_fract_y
_atom_site_fract_z
Ir1 0.000 0.000 0.000
Ru1 0.500 0.500 0.500
O1 0.000 0.500 0.500
O2 0.500 0.000 0.500
F1 0.500 0.500 0.000
# Formation energy from raw total energies in eV/atom: 0.3109

Record 10
# InAsW2 GGA-PBE relaxed
data_InAsW2
_chemical_formula_sum 'In2 As2 W4'
_symmetry_space_group_name_H-M 'P 1'
_symmetry_Int_Tables_number 1
_cell_length_a 3.312
_cell_length_b 4.674
_cell_length_c 10.084
_cell_angle_alpha 90.00
_cell_angle_beta 90.00
_cell_angle_gamma 90.00
loop_
_symmetry_equiv_pos_as_xyz
'x,y,z'
loop_
_atom_site_label
_atom_site_fract_x
_atom_site_fract_y
_atom_site_fract_z
In1 0.000 0.000 0.000
In2 0.500 0.500 0.000
As1 0.000 0.500 0.663
As2 0.500 0.000 0.663
W1 0.000 0.000 0.458
W2 0.000 0.500 0.250
W3 0.500 0.000 0.250
W4 0.500 0.500 0.458
# E above lowest polymorph in eV per atom: 0.155
# ΔH_f (0 K) in eV/atom: 0.3797

Record 11
# CsTeRhI2 GGA-PBE relaxed
data_CsTeRhI2
_chemical_formula_sum 'Cs1 Te1 Rh1 I2'
_symmetry_space_group_name_H-M 'P 1'
_symmetry_Int_Tables_number 1
_cell_length_a 5.870
_cell_length_b 5.870
_cell_length_c 5.126
_cell_angle_alpha 90.00
_cell_angle_beta 90.00
_cell_angle_gamma 90.00
loop_
_symmetry_equiv_pos_as_xyz
'x,y,z'
loop_
_atom_site_label
_atom_site_fract_x
_atom_site_fract_y
_atom_site_fract_z
Cs1 0.000 0.000 0.000
Te1 0.500 0.500 0.000
Rh1 0.500 0.500 0.500
I1 0.000 0.500 0.500
I2 0.500 0.000 0.500
# Formation energy from raw total energies in eV/atom: -0.4700

Record 12
# Ca4U GGA-PBE relaxed
data_Ca4U
_chemical_formula_sum 'Ca4 U1'
_symmetry_space_group_name_H-M 'P 1'
_symmetry_Int_Tables_number 1
_cell_length_a 6.092
_cell_length_b 6.092
_cell_length_c 6.092
_cell_angle_alpha 90.00
_cell_angle_beta 90.00
_cell_angle_gamma 90.00
loop_
_symmetry_equiv_pos_as_xyz
'x,y,z'
loop_
_atom_site_label
_atom_site_fract_x
_atom_site_fract_y
_atom_site_fract_z
Ca1 0.000 0.000 0.000
Ca2 0.000 0.500 0.500
Ca3 0.500 0.000 0.500
Ca4 0.500 0.500 0.000
U1 0.500 0.500 0.500
# ΔH_f (0 K) in eV/atom: 1.1057

Record 13
# Tb2PrHg6 GGA-PBE relaxed
data_Tb2PrHg6
_chemical_formula_sum 'Tb2 Pr1 Hg6'
_symmetry_space_group_name_H-M 'P 1'
_symmetry_Int_Tables_number 1
_cell_length_a 8.671
_cell_length_b 8.671
_cell_length_c 3.467
_cell_angle_alpha 90.00
_cell_angle_beta 90.00
_cell_angle_gamma 120.00
loop_
_symmetry_equiv_pos_as_xyz
'x,y,z'
loop_
_atom_site_label
_atom_site_fract_x
_atom_site_fract_y
_atom_site_fract_z
Tb1 0.333 0.667 0.000
Tb2 0.667 0.333 0.000
Pr1 0.000 0.000 0.000
Hg1 0.000 0.336 0.500
Hg2 0.000 0.664 0.500
Hg3 0.336 0.000 0.500
Hg4 0.336 0.336 0.500
Hg5 0.664 0.000 0.500
Hg6 0.664 0.664 0.500
# ΔH_f (0 K) in eV/atom: -0.4059

Record 14
# NdDy15Y4 GGA-PBE relaxed
data_NdDy15Y4
_chemical_formula_sum 'Nd1 Dy15 Y4'
_symmetry_space_group_name_H-M 'P 1'
_symmetry_Int_Tables_number 1
_cell_length_a 5.030
_cell_length_b 5.030
_cell_length_c 25.143
_cell_angle_alpha 90.00
_cell_angle_beta 90.00
_cell_angle_gamma 90.00
loop_
_symmetry_equiv_pos_as_xyz
'x,y,z'
loop_
_atom_site_label
_atom_site_fract_x
_atom_site_fract_y
_atom_site_fract_z
Nd1 0.000 0.000 0.000
Dy1 0.000 0.500 0.101
Dy2 0.000 0.500 0.300
Dy3 0.000 0.500 0.500
Dy4 0.000 0.500 0.700
Dy5 0.000 0.500 0.899
Dy6 0.500 0.000 0.101
Dy7 0.500 0.000 0.300
Dy8 0.500 0.000 0.500
Dy9 0.500 0.000 0.700
Dy10 0.500 0.000 0.899
Dy11 0.500 0.500 0.000
Dy12 0.500 0.500 0.201
Dy13 0.500 0.500 0.400
Dy14 0.500 0.500 0.600
Dy15 0.500 0.500 0.799
Y1 0.000 0.000 0.201
Y2 0.000 0.000 0.400
Y3 0.000 0.000 0.600
Y4 0.000 0.000 0.799
# ΔH_f (0 K) in eV/atom: 0.0203

Record 15
# Mg16Al12Ga GGA-PBE relaxed
data_Mg16Al12Ga
_chemical_formula_sum 'Mg16 Al12 Ga1'
_symmetry_space_group_name_H-M 'P 1'
_symmetry_Int_Tables_number 1
_cell_length_a 9.108
_cell_length_b 9.108
_cell_length_c 9.108
_cell_angle_alpha 109.47
_cell_angle_beta 109.47
_cell_angle_gamma 109.47
loop_
_symmetry_equiv_pos_as_xyz
'x,y,z'
loop_
_atom_site_label
_atom_site_fract_x
_atom_site_fract_y
_atom_site_fract_z
Mg1 0.000 0.000 0.335
Mg2 0.000 0.314 0.599
Mg3 0.000 0.335 0.000
Mg4 0.000 0.599 0.314
Mg5 0.285 0.686 0.686
Mg6 0.314 0.000 0.599
Mg7 0.314 0.599 0.000
Mg8 0.335 0.000 0.000
Mg9 0.401 0.401 0.715
Mg10 0.401 0.715 0.401
Mg11 0.599 0.000 0.314
Mg12 0.599 0.314 0.000
Mg13 0.665 0.665 0.665
Mg14 0.686 0.285 0.686
Mg15 0.686 0.686 0.285
Mg16 0.715 0.401 0.401
Al1 0.000 0.631 0.814
Al2 0.000 0.814 0.631
Al3 0.183 0.369 0.369
Al4 0.186 0.186 0.817
Al5 0.186 0.817 0.186
Al6 0.369 0.183 0.369
Al7 0.369 0.369 0.183
Al8 0.631 0.000 0.814
Al9 0.631 0.814 0.000
Al10 0.814 0.000 0.631
Al11 0.814 0.631 0.000
Al12 0.817 0.186 0.186
Ga1 0.000 0.000 0.000
# E above lowest polymorph in eV per atom: 0.010
# ΔH_f (0 K) in eV/atom: -0.0244

Record 16
# TaPb2Se GGA-PBE relaxed
data_TaPb2Se
_chemical_formula_sum 'Ta4 Pb8 Se4'
_symmetry_space_group_name_H-M 'P 1'
_symmetry_Int_Tables_number 1
_cell_length_a 6.531
_cell_length_b 6.531
_cell_length_c 13.541
_cell_angle_alpha 90.00
_cell_angle_beta 90.00
_cell_angle_gamma 90.00
loop_
_symmetry_equiv_pos_as_xyz
'x,y,z'
loop_
_atom_site_label
_atom_site_fract_x
_atom_site_fract_y
_atom_site_fract_z
Ta1 0.000 0.000 0.000
Ta2 0.000 0.500 0.250
Ta3 0.500 0.000 0.750
Ta4 0.500 0.500 0.500
Pb1 0.236 0.250 0.125
Pb2 0.250 0.736 0.375
Pb3 0.250 0.764 0.875
Pb4 0.264 0.250 0.625
Pb5 0.736 0.750 0.625
Pb6 0.750 0.236 0.875
Pb7 0.750 0.264 0.375
Pb8 0.764 0.750 0.125
Se1 0.000 0.000 0.500
Se2 0.000 0.500 0.750
Se3 0.500 0.000 0.250
Se4 0.500 0.500 0.000
# Formation energy from raw total energies in eV/atom: 0.9678

Record 17
# BiTe2Au2 GGA-PBE relaxed
data_BiTe2Au2
_chemical_formula_sum 'Bi2 Te4 Au4'
_symmetry_space_group_name_H-M 'P 1'
_symmetry_Int_Tables_number 1
_cell_length_a 4.651
_cell_length_b 4.651
_cell_length_c 12.362
_cell_angle_alpha 90.00
_cell_angle_beta 90.00
_cell_angle_gamma 90.00
loop_
_symmetry_equiv_pos_as_xyz
'x,y,z'
loop_
_atom_site_label
_atom_site_fract_x
_atom_site_fract_y
_atom_site_fract_z
Bi1 0.000 0.000 0.000
Bi2 0.500 0.500 0.500
Te1 0.000 0.500 0.250
Te2 0.000 0.500 0.750
Te3 0.500 0.000 0.250
Te4 0.500 0.000 0.750
Au1 0.000 0.000 0.392
Au2 0.000 0.000 0.608
Au3 0.500 0.500 0.108
Au4 0.500 0.500 0.892
# E above lowest polymorph in eV per atom: 0.175
# Formation energy from raw total energies in eV/atom: 0.2677

Record 18
# ErAlCuHg GGA-PBE relaxed
data_ErAlCuHg
_chemical_formula_sum 'Er4 Al4 Cu4 Hg4'
_symmetry_space_group_name_H-M 'P 1'
_symmetry_Int_Tables_number 1
_cell_length_a 6.752
_cell_length_b 6.752
_cell_length_c 6.752
_cell_angle_alpha 90.00
_cell_angle_beta 90.00
_cell_angle_gamma 90.00
loop_
_symmetry_equiv_pos_as_xyz
'x,y,z'
loop_
_atom_site_label
_atom_site_fract_x
_atom_site_fract_y
_atom_site_fract_z
Er1 0.000 0.000 0.000
Er2 0.000 0.500 0.500
Er3 0.500 0.000 0.500
Er4 0.500 0.500 0.000
Al1 0.000 0.000 0.500
Al2 0.000 0.500 0.000
Al3 0.500 0.000 0.000
Al4 0.500 0.500 0.500
Cu1 0.250 0.250 0.250
Cu2 0.250 0.750 0.750
Cu3 0.750 0.250 0.750
Cu4 0.750 0.750 0.250
Hg1 0.250 0.250 0.750
Hg2 0.250 0.750 0.250
Hg3 0.750 0.250 0.250
Hg4 0.750 0.750 0.750
# ΔH_f (0 K) in eV/atom: -0.2644

Record 19
# Li2Hf2Mg GGA-PBE relaxed
data_Li2Hf2Mg
_chemical_formula_sum 'Li4 Hf4 Mg2'
_symmetry_space_group_name_H-M 'P 1'
_symmetry_Int_Tables_number 1
_cell_length_a 4.062
_cell_length_b 4.062
_cell_length_c 12.600
_cell_angle_alpha 90.00
_cell_angle_beta 90.00
_cell_angle_gamma 90.00
loop_
_symmetry_equiv_pos_as_xyz
'x,y,z'
loop_
_atom_site_label
_atom_site_fract_x
_atom_site_fract_y
_atom_site_fract_z
Li1 0.000 0.000 0.087
Li2 0.000 0.000 0.913
Li3 0.500 0.500 0.413
Li4 0.500 0.500 0.587
Hf1 0.000 0.500 0.250
Hf2 0.000 0.500 0.750
Hf3 0.500 0.000 0.250
Hf4 0.500 0.000 0.750
Mg1 0.000 0.000 0.500
Mg2 0.500 0.500 0.000
# E above lowest polymorph in eV per atom: 0.032
# ΔH_f (0 K) in eV/atom: 0.4737

Record 20
# SrTiBeMo2 GGA-PBE relaxed
data_SrTiBeMo2
_chemical_formula_sum 'Sr1 Ti1 Be1 Mo2'
_symmetry_space_group_name_H-M 'P 1'
_symmetry_Int_Tables_number 1
_cell_length_a 4.655
_cell_length_b 4.655
_cell_length_c 4.954
_cell_angle_alpha 90.00
_cell_angle_beta 90.00
_cell_angle_gamma 90.00
loop_
_symmetry_equiv_pos_as_xyz
'x,y,z'
loop_
_atom_site_label
_atom_site_fract_x
_atom_site_fract_y
_atom_site_fract_z
Sr1 0.000 0.000 0.000
Ti1 0.500 0.500 0.500
Be1 0.500 0.500 0.000
Mo1 0.000 0.500 0.500
Mo2 0.500 0.000 0.500
# ΔH_f (0 K) in eV/atom: 1.1386